1.
# Cu2SiCl

A relaxed Cu2SiCl crystal (PBE, Alexandria).

Unit cell a=2.9461 b=2.9461 c=6.9123 alpha=90.00 beta=90.00 gamma=90.00
With the nearest neighbours (Å) after each atom.
Element x y z (fractional)
1 Cu 0.0000 0.0000 0.2198  4 Si 2.58, 4 Cl 2.84
2 Cu 0.0000 0.0000 0.7802  4 Si 2.58, 4 Cl 2.84
3 Si 0.5000 0.5000 0.0000  8 Cu 2.58
4 Cl 0.5000 0.5000 0.5000  8 Cu 2.84, 4 Cl 2.95

Output
Formation energy (no corrections) = 0.1967 eV/atom
E above lowest polymorph = 0.194 eV/atom
Raw total energy = -3.6688 eV per atom
Crystal system = tetragonal
Space group = P4/mmm, No. 123
Magnetic moment = 0.00 μB per formula unit

2.
# CuSi2TeCl

A relaxed CuSi2TeCl crystal (PBE, Alexandria).

Unit cell a=4.6695 b=4.6695 c=5.6006 alpha=90.00 beta=90.00 gamma=90.00
With the nearest neighbours (Å) after each atom.
Element x y z (fractional)
1 Cu 0.0000 0.0000 0.0000  4 Te 3.30, 8 Si 3.65
2 Si 0.0000 0.5000 0.5000  2 Cl 2.33
3 Si 0.5000 0.0000 0.5000  2 Cl 2.33
4 Te 0.5000 0.5000 0.0000  2 Cl 2.80
5 Cl 0.5000 0.5000 0.5000  4 Si 2.33

Output
Formation energy (no corrections) = 1.2441 eV/atom
E above lowest polymorph = 0.228 eV/atom
Raw total energy = -2.7420 eV per atom
Crystal system = tetragonal
Space group = P4/mmm, No. 123
Magnetic moment = 0.00 μB per formula unit

3.
# CuSi2TeCl

A relaxed CuSi2TeCl crystal (PBE, Alexandria).

Unit cell a=5.5484 b=5.5484 c=4.7619 alpha=90.00 beta=90.00 gamma=90.00
With the nearest neighbours (Å) after each atom.
Element x y z (fractional)
1 Cu 0.0000 0.0000 0.0000  2 Te 2.38
2 Si 0.0000 0.5000 0.5000  2 Te 2.77
3 Si 0.5000 0.0000 0.5000  2 Te 2.77
4 Te 0.0000 0.0000 0.5000  2 Cu 2.38
5 Cl 0.5000 0.5000 0.0000  8 Si 3.66, 4 Cu 3.92

Output
Formation energy (no corrections) = 1.0157 eV/atom
E above lowest polymorph = 0.000 eV/atom
Raw total energy = -2.9704 eV per atom
Crystal system = tetragonal
Space group = P4/mmm, No. 123
Magnetic moment = 0.00 μB per formula unit